1.
Cs2GeBi after structural relaxation. Source: Alexandria, functional PBEsol.

a = 8.689 Å, b = 8.689 Å, c = 8.689 Å
α = 90.00°, β = 90.00°, γ = 90.00°
Element x y z (fractional)
1 Cs 0.250 0.250 0.250
2 Cs 0.250 0.250 0.750
3 Cs 0.250 0.750 0.250
4 Cs 0.250 0.750 0.750
5 Cs 0.750 0.250 0.250
6 Cs 0.750 0.250 0.750
7 Cs 0.750 0.750 0.250
8 Cs 0.750 0.750 0.750
9 Ge 0.000 0.000 0.000
10 Ge 0.000 0.500 0.500
11 Ge 0.500 0.000 0.500
12 Ge 0.500 0.500 0.000
13 Bi 0.000 0.000 0.500
14 Bi 0.000 0.500 0.000
15 Bi 0.500 0.000 0.000
16 Bi 0.500 0.500 0.500

Output
Uncorrected energy in eV per atom: -2.5004
Calculated volume in Å³/atom: 41.01
Energy of formation from the pure elements in eV/atom: 0.277
Total moment in μB per cell: 3.23
DOS at the Fermi energy in states/eV/f.u.: 2.48

=====

2.
TaMn2Os after structural relaxation. Source: Alexandria, functional PBEsol.

a = 4.089 Å, b = 4.089 Å, c = 3.199 Å
α = 90.00°, β = 90.00°, γ = 90.00°
Element x y z (fractional)
1 Ta 0.000 0.000 0.000
2 Mn 0.000 0.500 0.500
3 Mn 0.500 0.000 0.500
4 Os 0.500 0.500 0.000

Output
Uncorrected energy in eV per atom: -11.0361
Calculated volume in Å³/atom: 13.37
Relative energy among the computed polymorphs in kJ/mol of formula units: 27.4
Energy of formation from the pure elements in eV/atom: 0.036
Total moment in μB per cell: 3.63
DOS at the Fermi energy in states/eV/f.u.: 4.69

=====

3.
LiNi2Rh after structural relaxation. Source: Alexandria, functional PBEsol.

a = 3.475 Å, b = 3.475 Å, c = 3.681 Å
α = 90.00°, β = 90.00°, γ = 90.00°
Element x y z (fractional)
1 Li 0.000 0.000 0.000
2 Ni 0.000 0.500 0.500
3 Ni 0.500 0.000 0.500
4 Rh 0.500 0.500 0.000

Output
Uncorrected energy in eV per atom: -5.5665
Calculated volume in Å³/atom: 11.12
Energy of formation from the pure elements in eV/atom: 0.039
Total moment in μB per cell: 0.00
DOS at the Fermi energy in states/eV/f.u.: 4.38

=====

4.
Y2ScIn2 after structural relaxation. Source: Alexandria, functional PBEsol.

a = 7.769 Å, b = 7.769 Å, c = 4.356 Å
α = 90.00°, β = 90.00°, γ = 90.00°
Element x y z (fractional)
1 Y 0.173 0.327 0.000
2 Y 0.327 0.827 0.000
3 Y 0.673 0.173 0.000
4 Y 0.827 0.673 0.000
5 Sc 0.000 0.000 0.500
6 Sc 0.500 0.500 0.500
7 In 0.130 0.630 0.500
8 In 0.370 0.130 0.500
9 In 0.630 0.870 0.500
10 In 0.870 0.370 0.500

Output
Uncorrected energy in eV per atom: -5.6928
Calculated volume in Å³/atom: 26.29
Energy of formation from the pure elements in eV/atom: -0.450
Total moment in μB per cell: 0.00
DOS at the Fermi energy in states/eV/f.u.: 5.42

=====

5.
BeCr3Sb after structural relaxation. Source: Alexandria, functional PBEsol.

a = 4.962 Å, b = 4.962 Å, c = 4.962 Å
α = 90.00°, β = 90.00°, γ = 90.00°
Element x y z (fractional)
1 Be 0.000 0.000 0.000
2 Cr 0.000 0.500 0.500
3 Cr 0.500 0.000 0.500
4 Cr 0.500 0.500 0.000
5 Sb 0.500 0.500 0.500

Output
Uncorrected energy in eV per atom: -5.9976
Energy relative to the elements, uncorrected in eV/atom: 1.859
Calculated volume in Å³/atom: 24.43
Relative energy among the computed polymorphs in kJ/mol of formula units: 582.8
Total moment in μB per cell: 11.88
DOS at the Fermi energy in states/eV/f.u.: 3.82

=====

6.
CoSnRh2 after structural relaxation. Source: Alexandria, functional PBEsol.

a = 3.986 Å, b = 3.986 Å, c = 7.131 Å
α = 90.00°, β = 90.00°, γ = 90.00°
Element x y z (fractional)
1 Co 0.000 0.000 0.000
2 Co 0.500 0.500 0.500
3 Sn 0.000 0.000 0.500
4 Sn 0.500 0.500 0.000
5 Rh 0.000 0.500 0.250
6 Rh 0.000 0.500 0.750
7 Rh 0.500 0.000 0.250
8 Rh 0.500 0.000 0.750

Output
Uncorrected energy in eV per atom: -7.2706
Calculated volume in Å³/atom: 14.16
Energy of formation from the pure elements in eV/atom: -0.202
Total moment in μB per cell: 4.44
DOS at the Fermi energy in states/eV/f.u.: 4.50

=====

7.
Be3Cr4 after structural relaxation. Source: Alexandria, functional PBEsol.

a = 4.271 Å, b = 4.271 Å, c = 4.265 Å
α = 90.00°, β = 90.00°, γ = 120.00°
Element x y z (fractional)
1 Be 0.000 0.500 0.000
2 Be 0.500 0.000 0.000
3 Be 0.500 0.500 0.000
4 Cr 0.000 0.000 0.252
5 Cr 0.000 0.000 0.748
6 Cr 0.333 0.667 0.500
7 Cr 0.667 0.333 0.500

Output
Uncorrected energy in eV per atom: -7.6051
Calculated volume in Å³/atom: 9.62
Energy of formation from the pure elements in eV/atom: -0.038
Total moment in μB per cell: 0.00
DOS at the Fermi energy in states/eV/f.u.: 7.66

=====

8.
LiCrBr4 after structural relaxation. Source: Alexandria, functional PBEsol.

a = 6.241 Å, b = 6.241 Å, c = 6.241 Å
α = 60.00°, β = 60.00°, γ = 60.00°
Element x y z (fractional)
1 Li 0.000 0.000 0.000
2 Cr 0.250 0.250 0.250
3 Br 0.125 0.625 0.625
4 Br 0.625 0.125 0.625
5 Br 0.625 0.625 0.125
6 Br 0.625 0.625 0.625

Output
Uncorrected energy in eV per atom: -2.8327
Energy relative to the elements, uncorrected in eV/atom: 0.449
Calculated volume in Å³/atom: 28.65
Total moment in μB per cell: 4.15
DOS at the Fermi energy in states/eV/f.u.: 7.98